(1)
## CrCoPt2 (GGA-PBE)

Data for a geometry-optimized CrCoPt2 structure.

Values from the calculation:
Formation energy from the elements = 125 meV per atom
Calculated volume = 57 Å³ per cell
Energy above the lowest structure with this stoichiometry = 7.74 kcal/mol of atoms

Geometry as extended XYZ:
```
4
Lattice="0.000 3.058 3.058 3.058 0.000 3.058 3.058 3.058 0.000" Properties=species:S:1:pos:R:3 pbc="T T T"
Cr 0.000 0.000 0.000
Co 4.587 4.587 4.587
Pt 1.529 1.529 1.529
Pt 3.058 3.058 3.058
```



(2)
## CrCo2Pt (GGA-PBE)

Data for a geometry-optimized CrCo2Pt structure.

Values from the calculation:
Formation energy from the elements = -3 meV per atom
Calculated volume = 49 Å³ per cell

Geometry as extended XYZ:
```
4
Lattice="2.623 0.000 0.000 0.000 3.573 0.000 0.000 0.000 5.245" Properties=species:S:1:pos:R:3 pbc="T T T"
Cr 0.000 0.000 0.000
Co 1.311 1.787 1.205
Co 1.311 1.787 4.040
Pt 0.000 0.000 2.622
```



(3)
## CrCo2Pt (GGA-PBE)

Data for a geometry-optimized CrCo2Pt structure.

Values from the calculation:
Formation energy from the elements = 91 meV per atom
Calculated volume = 50 Å³ per cell

Geometry as extended XYZ:
```
4
Lattice="1.311 0.757 8.355 -1.311 0.757 8.355 0.000 -1.514 8.355" Properties=species:S:1:pos:R:3 pbc="T T T"
Cr 0.000 0.000 0.000
Co 0.000 0.000 6.390
Co 0.000 0.000 18.676
Pt 0.000 0.000 12.533
```



(4)
## CrCo2Pt (GGA-PBE)

Data for a geometry-optimized CrCo2Pt structure.

Values from the calculation:
Formation energy from the elements = -42 meV per atom
Calculated volume = 49 Å³ per cell

Geometry as extended XYZ:
```
4
Lattice="-1.814 1.814 3.686 1.814 -1.814 3.686 1.814 1.814 -3.686" Properties=species:S:1:pos:R:3 pbc="T T T"
Cr 0.000 0.000 0.000
Co 1.814 0.000 1.843
Co 0.000 0.000 3.686
Pt 0.000 1.814 1.843
```



(5)
## CrCo2Pt (GGA-PBE)

Data for a geometry-optimized CrCo2Pt structure.

Values from the calculation:
Formation energy from the elements = 183 meV per atom
Calculated volume = 52 Å³ per cell

Geometry as extended XYZ:
```
4
Lattice="0.000 2.962 2.962 2.962 0.000 2.962 2.962 2.962 0.000" Properties=species:S:1:pos:R:3 pbc="T T T"
Cr 0.000 0.000 0.000
Co 1.481 1.481 1.481
Co 2.962 2.962 2.962
Pt 4.443 4.443 4.443
```



(6)
## CrCo4Pt (GGA-PBE)

Data for a geometry-optimized CrCo4Pt structure.

Values from the calculation:
Formation energy from the elements = 55 meV per atom
Calculated volume = 74 Å³ per cell

Geometry as extended XYZ:
```
6
Lattice="0.000 3.325 3.325 3.325 0.000 3.325 3.325 3.325 0.000" Properties=species:S:1:pos:R:3 pbc="T T T"
Cr 0.000 0.000 0.000
Co 2.493 2.493 2.493
Co 4.156 4.156 2.493
Co 4.156 2.493 4.156
Co 2.493 4.156 4.156
Pt 4.987 4.987 4.987
```



(7)
## Cr2CoPt9 (GGA-PBE)

Data for a geometry-optimized Cr2CoPt9 structure.

Values from the calculation:
Formation energy from the elements = -194 meV per atom
Calculated volume = 179 Å³ per cell

Geometry as extended XYZ:
```
12
Lattice="3.903 0.000 0.000 0.000 3.903 0.000 0.000 0.000 11.773" Properties=species:S:1:pos:R:3 pbc="T T T"
Cr 0.000 0.000 1.947
Cr 0.000 0.000 9.826
Co 0.000 0.000 5.887
Pt 0.000 1.952 0.000
Pt 0.000 1.952 3.942
Pt 0.000 1.952 7.831
Pt 1.952 0.000 0.000
Pt 1.952 0.000 3.942
Pt 1.952 0.000 7.831
Pt 1.952 1.952 1.975
Pt 1.952 1.952 5.887
Pt 1.952 1.952 9.798
```



(8)
## Cr2CoPt (GGA-PBE)

Data for a geometry-optimized Cr2CoPt structure.

Values from the calculation:
Formation energy from the elements = -68 meV per atom
Calculated volume = 49 Å³ per cell
Energy above the lowest structure with this stoichiometry = 0.13 kcal/mol of atoms

Geometry as extended XYZ:
```
4
Lattice="2.600 0.000 0.000 0.000 4.121 0.000 0.000 0.000 4.602" Properties=species:S:1:pos:R:3 pbc="T T T"
Cr 0.000 0.000 0.000
Cr 0.000 2.061 1.441
Co 1.300 0.000 2.124
Pt 1.300 2.061 3.721
```



(9)
## CrCoPt2 (GGA-PBE)

Data for a geometry-optimized CrCoPt2 structure.

Values from the calculation:
Formation energy from the elements = 4 meV per atom
Calculated volume = 56 Å³ per cell
Energy above the lowest structure with this stoichiometry = 4.94 kcal/mol of atoms

Geometry as extended XYZ:
```
4
Lattice="4.389 -1.384 0.000 4.389 1.384 0.000 -0.872 0.000 4.571" Properties=species:S:1:pos:R:3 pbc="T T T"
Cr 0.000 0.000 0.000
Co 3.953 0.000 2.285
Pt 1.540 0.000 3.422
Pt 6.366 0.000 1.149
```



(10)
## CrCo2Pt2 (GGA-PBE)

Data for a geometry-optimized CrCo2Pt2 structure.

Values from the calculation:
Formation energy from the elements = 191 meV per atom
Calculated volume = 134 Å³ per cell

Geometry as extended XYZ:
```
10
Lattice="5.978 0.000 0.000 0.000 5.978 0.000 0.000 0.000 3.740" Properties=species:S:1:pos:R:3 pbc="T T T"
Cr 0.000 0.000 0.000
Cr 2.989 2.989 0.000
Co 0.804 2.185 0.000
Co 2.185 5.174 0.000
Co 3.793 0.804 0.000
Co 5.174 3.793 0.000
Pt 0.996 3.986 1.870
Pt 1.993 0.996 1.870
Pt 3.986 4.982 1.870
Pt 4.982 1.993 1.870
```



(11)
## Cr2CoPt (GGA-PBE)

Data for a geometry-optimized Cr2CoPt structure.

Values from the calculation:
Formation energy from the elements = -20 meV per atom
Calculated volume = 49 Å³ per cell
Energy above the lowest structure with this stoichiometry = 1.24 kcal/mol of atoms

Geometry as extended XYZ:
```
4
Lattice="2.586 0.000 0.000 0.000 2.586 0.000 0.000 0.000 7.367" Properties=species:S:1:pos:R:3 pbc="T T T"
Cr 0.000 0.000 1.697
Cr 0.000 0.000 5.670
Co 1.293 1.293 0.000
Pt 1.293 1.293 3.684
```



(12)
## CrCoPt2 (GGA-PBE)

Data for a geometry-optimized CrCoPt2 structure.

Values from the calculation:
Formation energy from the elements = 161 meV per atom
Calculated volume = 54 Å³ per cell
Energy above the lowest structure with this stoichiometry = 8.58 kcal/mol of atoms

Geometry as extended XYZ:
```
4
Lattice="0.000 3.007 3.007 3.007 0.000 3.007 3.007 3.007 0.000" Properties=species:S:1:pos:R:3 pbc="T T T"
Cr 0.000 0.000 0.000
Co 3.007 3.007 3.007
Pt 1.503 1.503 1.503
Pt 4.510 4.510 4.510
```



What did the ninth record say?
## CrCoPt2 (GGA-PBE)

Data for a geometry-optimized CrCoPt2 structure.

Values from the calculation:
Formation energy from the elements = 4 meV per atom
Calculated volume = 56 Å³ per cell
Energy above the lowest structure with this stoichiometry = 4.94 kcal/mol of atoms

Geometry as extended XYZ:
```
4
Lattice="4.389 -1.384 0.000 4.389 1.384 0.000 -0.872 0.000 4.571" Properties=species:S:1:pos:R:3 pbc="T T T"
Cr 0.000 0.000 0.000
Co 3.953 0.000 2.285
Pt 1.540 0.000 3.422
Pt 6.366 0.000 1.149
```



Which of these has the lowest formation energy from the elements? Cr2CoPt9